PBE Li2TiBiH, relaxed; space-group type = P4/mmm
1.0
4.162 0.000 0.000
0.000 4.162 0.000
0.000 0.000 4.206
Bi H Li Ti
1 1 2 1
direct
0.500 0.500 0.500
0.000 0.000 0.000
0.000 0.500 0.000
0.500 0.000 0.000
0.000 0.000 0.500

=====

PBE Y2Er7Pu, relaxed; formation energy = 141 meV/atom; space-group type = C2/m
1.0
-2.222 -2.468 -0.892
10.222 -10.408 3.400
-11.403 9.386 2.499
Pu Er Y
1 7 2
direct
0.000 0.000 0.000
0.500 0.500 0.500
0.741 0.657 0.854
0.000 0.310 0.690
0.000 0.690 0.310
0.259 0.343 0.146
0.259 0.146 0.343
0.741 0.854 0.657
0.500 0.793 0.207
0.500 0.207 0.793

=====

PBE Na3Ga2Se4, relaxed; uncorrected formation energy = -0.796 eV per atom; space-group type = C2/c; distance to the lowest polymorph of the same formula = 0.00 eV per formula unit
1.0
7.097 -0.126 -0.090
0.165 8.251 -0.526
0.165 2.160 7.981
Se Ga Na
8 4 6
direct
0.479 0.937 0.282
0.067 0.263 0.425
0.933 0.737 0.575
0.979 0.282 0.937
0.021 0.718 0.063
0.567 0.425 0.263
0.521 0.063 0.718
0.433 0.575 0.737
0.906 0.423 0.174
0.406 0.174 0.423
0.594 0.826 0.577
0.094 0.577 0.826
0.067 0.006 0.748
0.433 0.252 0.994
0.250 0.613 0.387
0.750 0.387 0.613
0.933 0.994 0.252
0.567 0.748 0.006

=====

PBE Na6InPb, relaxed; formation energy = -68 meV/atom; space-group type = P-1
1.0
8.798 0.034 -0.055
4.405 7.604 -0.161
4.407 2.597 3.534
Na In Pb
6 1 1
direct
0.499 0.247 0.253
0.000 0.500 0.748
0.501 0.753 0.747
0.247 0.002 0.251
0.000 0.500 0.252
0.753 0.998 0.749
0.500 0.500 0.500
0.000 0.000 0.000

=====

In the order shown, the computed ρ values come out to 6.194, 8.595, 3.660, 3.172 Mg/m³.
In the order shown, the computed calculated total energy values come out to -4.062, -5.779, -3.457, -1.863 eV per atom.